[1]
A plane-wave DFT calculation with PBE-GGA was carried out for a relaxed structure of LuSc3Cd2C2.

Geometry as POSCAR:
```
LuSc3Cd2C2
1.0
3.355 0.000 0.000
-1.677 2.905 0.000
0.000 0.000 15.743
Lu Sc Cd C
1 3 2 2
Direct
0.000 0.000 0.000 Lu
0.000 0.000 0.658 Sc
0.667 0.333 0.163 Sc
0.667 0.333 0.503 Sc
0.000 0.000 0.334 Cd
0.667 0.333 0.825 Cd
0.333 0.667 0.086 C
0.333 0.667 0.581 C
```

## Properties
Uncorrected energy in eV per formula unit: -47.04
Crystal system: trigonal
Total magnetic moment in μB/f.u.: 0.162


[2]
A plane-wave DFT calculation with PBE-GGA was carried out for a relaxed structure of AgPtPb2.

Geometry as POSCAR:
```
AgPtPb2
1.0
0.000 3.565 3.565
3.565 0.000 3.565
3.565 3.565 0.000
Ag Pt Pb
1 1 2
Direct
0.000 0.000 0.000 Ag
0.750 0.750 0.750 Pt
0.250 0.250 0.250 Pb
0.500 0.500 0.500 Pb
```

## Properties
Uncorrected energy in eV per formula unit: -15.48
Crystal system: cubic
Total magnetic moment in μB/f.u.: 0.003


[3]
A plane-wave DFT calculation with PBE-GGA was carried out for a relaxed structure of Na4InGePt2.

Geometry as POSCAR:
```
Na4InGePt2
1.0
4.727 0.000 0.000
0.000 4.727 0.000
0.000 0.000 6.829
Na In Ge Pt
4 1 1 2
Direct
0.000 0.000 0.000 Na
0.000 0.500 0.737 Na
0.500 0.000 0.263 Na
0.500 0.500 0.500 Na
0.500 0.500 0.000 In
0.000 0.000 0.500 Ge
0.000 0.500 0.268 Pt
0.500 0.000 0.732 Pt
```

## Properties
Uncorrected energy in eV per formula unit: -26.30
Crystal system: tetragonal
Total magnetic moment in μB/f.u.: 0.006


[4]
A plane-wave DFT calculation with PBE-GGA was carried out for a relaxed structure of HfZrCI2.

Geometry as POSCAR:
```
HfZrCI2
1.0
3.617 0.000 0.000
-1.809 3.133 0.000
0.000 0.000 10.298
Hf Zr C I
1 1 1 2
Direct
0.000 0.000 0.000 Hf
0.667 0.333 0.221 Zr
0.333 0.667 0.105 C
0.000 0.000 0.429 I
0.667 0.333 0.794 I
```

## Properties
Uncorrected energy in eV per formula unit: -35.09
Crystal system: trigonal
Total magnetic moment in μB/f.u.: 0.010


[5]
A plane-wave DFT calculation with PBE-GGA was carried out for a relaxed structure of YFeCuTe.

Geometry as POSCAR:
```
YFeCuTe
1.0
0.000 3.317 3.317
3.317 0.000 3.317
3.317 3.317 0.000
Y Fe Cu Te
1 1 1 1
Direct
0.000 0.000 0.000 Y
0.750 0.750 0.750 Fe
0.250 0.250 0.250 Cu
0.500 0.500 0.500 Te
```

## Properties
Uncorrected energy in eV per formula unit: -21.44
Crystal system: cubic
Total magnetic moment in μB/f.u.: 1.582
ΔE to the lowest computed polymorph in kJ/mol of atoms: 2.6


[6]
A plane-wave DFT calculation with PBE-GGA was carried out for a relaxed structure of Gd3Tl4Pb3.

Geometry as POSCAR:
```
Gd3Tl4Pb3
1.0
2.331 -12.821 0.000
2.331 12.821 0.000
0.000 0.000 4.686
Gd Tl Pb
3 4 3
Direct
0.000 0.000 0.000 Gd
0.189 0.811 0.000 Gd
0.811 0.189 0.000 Gd
0.098 0.902 0.500 Tl
0.403 0.597 0.000 Tl
0.597 0.403 0.000 Tl
0.902 0.098 0.500 Tl
0.295 0.705 0.500 Pb
0.500 0.500 0.500 Pb
0.705 0.295 0.500 Pb
```

## Properties
Uncorrected energy in eV per formula unit: -37.98
Crystal system: orthorhombic
Total magnetic moment in μB/f.u.: 0.008
ΔE to the lowest computed polymorph in kJ/mol of atoms: 0.0


[7]
A plane-wave DFT calculation with PBE-GGA was carried out for a relaxed structure of MgSnHgPd.

Geometry as POSCAR:
```
MgSnHgPd
1.0
0.000 3.434 3.434
3.434 0.000 3.434
3.434 3.434 0.000
Mg Sn Hg Pd
1 1 1 1
Direct
0.000 0.000 0.000 Mg
0.500 0.500 0.500 Sn
0.750 0.750 0.750 Hg
0.250 0.250 0.250 Pd
```

## Properties
Uncorrected energy in eV per formula unit: -11.94
Crystal system: cubic
ΔE to the lowest computed polymorph in kJ/mol of atoms: 0.0


[8]
A plane-wave DFT calculation with PBE-GGA was carried out for a relaxed structure of HfRe2Au.

Geometry as POSCAR:
```
HfRe2Au
1.0
0.000 3.230 3.230
3.230 0.000 3.230
3.230 3.230 0.000
Hf Re Au
1 2 1
Direct
0.000 0.000 0.000 Hf
0.250 0.250 0.250 Re
0.500 0.500 0.500 Re
0.750 0.750 0.750 Au
```

## Properties
Uncorrected energy in eV per formula unit: -37.41
Crystal system: cubic
Total magnetic moment in μB/f.u.: 0.001
Energy of formation in eV/atom: 0.166


[9]
A plane-wave DFT calculation with PBE-GGA was carried out for a relaxed structure of Nb5Si2Ni6.

Geometry as POSCAR:
```
Nb5Si2Ni6
1.0
2.408 1.390 8.874
-2.408 1.390 8.874
0.000 -2.781 8.874
Nb Si Ni
5 2 6
Direct
0.000 0.000 0.000 Nb
0.163 0.163 0.163 Nb
0.351 0.351 0.351 Nb
0.649 0.649 0.649 Nb
0.837 0.837 0.837 Nb
0.452 0.452 0.452 Si
0.548 0.548 0.548 Si
0.090 0.090 0.580 Ni
0.090 0.580 0.090 Ni
0.420 0.910 0.910 Ni
0.580 0.090 0.090 Ni
0.910 0.420 0.910 Ni
0.910 0.910 0.420 Ni
```

## Properties
Uncorrected energy in eV per formula unit: -97.51
Crystal system: trigonal
Total magnetic moment in μB/f.u.: 0.026


[10]
A plane-wave DFT calculation with PBE-GGA was carried out for a relaxed structure of Ba6Hf5S16.

Geometry as POSCAR:
```
Ba6Hf5S16
1.0
-2.497 2.497 27.827
2.497 -2.497 27.827
2.497 2.497 -27.827
Ba Hf S
6 5 16
Direct
0.045 0.045 0.000 Ba
0.133 0.133 0.000 Ba
0.218 0.218 0.000 Ba
0.782 0.782 0.000 Ba
0.867 0.867 0.000 Ba
0.955 0.955 0.000 Ba
0.319 0.319 0.000 Hf
0.410 0.410 0.000 Hf
0.500 0.500 0.000 Hf
0.590 0.590 0.000 Hf
0.681 0.681 0.000 Hf
0.000 0.500 0.500 S
0.090 0.590 0.500 S
0.179 0.679 0.500 S
0.274 0.274 0.000 S
0.321 0.821 0.500 S
0.365 0.365 0.000 S
0.410 0.910 0.500 S
0.455 0.455 0.000 S
0.500 0.000 0.500 S
0.545 0.545 0.000 S
0.590 0.090 0.500 S
0.635 0.635 0.000 S
0.679 0.179 0.500 S
0.726 0.726 0.000 S
0.821 0.321 0.500 S
0.910 0.410 0.500 S
```

## Properties
Uncorrected energy in eV per formula unit: -177.29
Crystal system: tetragonal
Total magnetic moment in μB/f.u.: 0.011


[11]
A plane-wave DFT calculation with PBE-GGA was carried out for a relaxed structure of NaZrCoSn.

Geometry as POSCAR:
```
NaZrCoSn
1.0
0.000 3.398 3.398
3.398 0.000 3.398
3.398 3.398 0.000
Na Zr Co Sn
1 1 1 1
Direct
0.000 0.000 0.000 Na
0.500 0.500 0.500 Zr
0.750 0.750 0.750 Co
0.250 0.250 0.250 Sn
```

## Properties
Uncorrected energy in eV per formula unit: -20.40
Crystal system: cubic
Total magnetic moment in μB/f.u.: 1.219
ΔE to the lowest computed polymorph in kJ/mol of atoms: 20.1


[12]
A plane-wave DFT calculation with PBE-GGA was carried out for a relaxed structure of ZnCdSO.

Geometry as POSCAR:
```
ZnCdSO
1.0
3.537 0.000 0.000
0.000 3.537 0.000
0.000 0.000 11.353
Zn Cd S O
2 2 2 2
Direct
0.250 0.750 0.000 Zn
0.750 0.250 0.000 Zn
0.250 0.250 0.401 Cd
0.750 0.750 0.599 Cd
0.250 0.250 0.863 S
0.750 0.750 0.137 S
0.250 0.250 0.601 O
0.750 0.750 0.399 O
```

## Properties
Uncorrected energy in eV per formula unit: -13.31
Crystal system: tetragonal
ΔE to the lowest computed polymorph in kJ/mol of atoms: 40.5


[13]
A plane-wave DFT calculation with PBE-GGA was carried out for a relaxed structure of HoTePO.

Geometry as POSCAR:
```
HoTePO
1.0
5.471 0.000 0.000
0.000 5.471 0.000
0.000 0.000 5.212
Ho Te P O
2 2 2 2
Direct
0.250 0.750 0.000 Ho
0.750 0.250 0.000 Ho
0.250 0.250 0.493 Te
0.750 0.750 0.507 Te
0.250 0.250 0.989 P
0.750 0.750 0.011 P
0.250 0.750 0.500 O
0.750 0.250 0.500 O
```

## Properties
Uncorrected energy in eV per formula unit: -21.34
Crystal system: tetragonal
Total magnetic moment in μB/f.u.: 0.001
ΔE to the lowest computed polymorph in kJ/mol of atoms: 45.5


[14]
A plane-wave DFT calculation with PBE-GGA was carried out for a relaxed structure of FeNiBi2.

Geometry as POSCAR:
```
FeNiBi2
1.0
0.000 3.435 3.435
3.435 0.000 3.435
3.435 3.435 0.000
Fe Ni Bi
1 1 2
Direct
0.000 0.000 0.000 Fe
0.750 0.750 0.750 Ni
0.250 0.250 0.250 Bi
0.500 0.500 0.500 Bi
```

## Properties
Uncorrected energy in eV per formula unit: -18.82
Crystal system: cubic
Total magnetic moment in μB/f.u.: 3.002


[15]
A plane-wave DFT calculation with PBE-GGA was carried out for a relaxed structure of Cs2AgPtO4.

Geometry as POSCAR:
```
Cs2AgPtO4
1.0
6.086 0.000 0.000
0.000 2.562 6.095
0.000 -2.562 6.095
Cs Ag Pt O
2 1 1 4
Direct
0.000 0.000 0.000 Cs
0.500 0.380 0.380 Cs
0.500 0.687 0.687 Ag
0.000 0.694 0.694 Pt
0.243 0.582 0.582 O
0.255 0.798 0.798 O
0.745 0.798 0.798 O
0.757 0.582 0.582 O
```

## Properties
Uncorrected energy in eV per formula unit: -36.44
Crystal system: orthorhombic
Total magnetic moment in μB/f.u.: 1.000


[16]
A plane-wave DFT calculation with PBE-GGA was carried out for a relaxed structure of RbPd.

Geometry as POSCAR:
```
RbPd
1.0
3.395 0.000 0.000
-1.697 2.940 0.000
0.000 0.000 5.334
Rb Pd
1 1
Direct
0.000 0.000 0.000 Rb
0.333 0.667 0.500 Pd
```

## Properties
Uncorrected energy in eV per formula unit: -5.25
Crystal system: hexagonal


[17]
A plane-wave DFT calculation with PBE-GGA was carried out for a relaxed structure of GdAlInNi.

Geometry as POSCAR:
```
GdAlInNi
1.0
5.242 -2.090 0.000
5.242 2.090 0.000
-0.060 0.000 7.190
Gd Al In Ni
2 2 2 2
Direct
0.063 0.063 0.267 Gd
0.937 0.937 0.733 Gd
0.343 0.343 0.445 Al
0.657 0.657 0.555 Al
0.354 0.354 0.051 In
0.646 0.646 0.949 In
0.216 0.216 0.729 Ni
0.784 0.784 0.271 Ni
```

## Properties
Uncorrected energy in eV per formula unit: -18.84
Crystal system: monoclinic
Total magnetic moment in μB/f.u.: 0.003
ΔE to the lowest computed polymorph in kJ/mol of atoms: 0.0


[18]
A plane-wave DFT calculation with PBE-GGA was carried out for a relaxed structure of Tb3PmS6.

Geometry as POSCAR:
```
Tb3PmS6
1.0
11.093 0.000 0.000
0.000 3.995 0.000
-3.627 0.000 10.783
Tb Pm S
6 2 12
Direct
0.063 0.250 0.168 Tb
0.181 0.750 0.503 Tb
0.339 0.250 0.915 Tb
0.661 0.750 0.085 Tb
0.819 0.250 0.497 Tb
0.937 0.750 0.832 Tb
0.453 0.250 0.308 Pm
0.547 0.750 0.692 Pm
0.022 0.250 0.388 S
0.103 0.250 0.938 S
0.241 0.750 0.275 S
0.307 0.750 0.751 S
0.385 0.250 0.537 S
0.418 0.750 0.097 S
0.582 0.250 0.903 S
0.615 0.750 0.463 S
0.693 0.250 0.249 S
0.759 0.250 0.725 S
0.897 0.750 0.062 S
0.978 0.750 0.612 S
```

## Properties
Uncorrected energy in eV per formula unit: -64.25
Crystal system: monoclinic
Total magnetic moment in μB/f.u.: 0.003


[19]
A plane-wave DFT calculation with PBE-GGA was carried out for a relaxed structure of ScTl2AgF6.

Geometry as POSCAR:
```
ScTl2AgF6
1.0
0.000 4.303 4.303
4.303 0.000 4.303
4.303 4.303 0.000
Sc Tl Ag F
1 2 1 6
Direct
0.000 0.000 0.000 Sc
0.250 0.250 0.250 Tl
0.750 0.750 0.750 Tl
0.500 0.500 0.500 Ag
0.231 0.231 0.769 F
0.231 0.769 0.231 F
0.231 0.769 0.769 F
0.769 0.231 0.231 F
0.769 0.231 0.769 F
0.769 0.769 0.231 F
```

## Properties
Uncorrected energy in eV per formula unit: -49.84
Crystal system: cubic
Total magnetic moment in μB/f.u.: 0.000
ΔE to the lowest computed polymorph in kJ/mol of atoms: 1.3


[20]
A plane-wave DFT calculation with PBE-GGA was carried out for a relaxed structure of TlCuSiNi.

Geometry as POSCAR:
```
TlCuSiNi
1.0
0.000 3.171 3.171
3.171 0.000 3.171
3.171 3.171 0.000
Tl Cu Si Ni
1 1 1 1
Direct
0.000 0.000 0.000 Tl
0.500 0.500 0.500 Cu
0.250 0.250 0.250 Si
0.750 0.750 0.750 Ni
```

## Properties
Uncorrected energy in eV per formula unit: -14.93
Crystal system: cubic
Total magnetic moment in μB/f.u.: 0.002
ΔE to the lowest computed polymorph in kJ/mol of atoms: 17.1


no.,mass density (g/cm3)
1,6.05
2,13.15
3,7.29
4,7.62
5,7.64
6,11.33
7,9.23
8,18.42
9,8.13
10,5.34
11,6.17
12,5.28
13,7.23
14,10.91
15,5.53
16,5.99
17,7.54
18,5.66
19,7.04
20,9.24